{"formula": "KMoCl", "functional": "PBE", "state": "relaxed", "formation_energy_uncorrected_ev_per_atom": 0.44, "space_group": "No. 156", "m_tot_mub_per_fu": 0.470, "de_polymorph_ev_per_atom": 0.000, "cell": [[3.2991, 0.0000, 0.0000], [-1.6495, 2.8571, 0.0000], [0.0000, 0.0000, 7.1292]], "species": ["K", "Mo", "Cl"], "frac_coords": [[0.0000, 0.0000, 0.0000], [0.6667, 0.3333, 0.4116], [0.3333, 0.6667, 0.6289]]}


{"formula": "K2MoCl", "functional": "PBE", "state": "relaxed", "formation_energy_uncorrected_ev_per_atom": 0.44, "space_group": "No. 122", "m_tot_mub_per_fu": 4.225, "de_polymorph_ev_per_atom": 0.218, "cell": [[-5.9983, 5.9983, 2.5446], [5.9983, -5.9983, 2.5446], [5.9983, 5.9983, -2.5446]], "species": ["K", "K", "K", "K", "Mo", "Mo", "Cl", "Cl"], "frac_coords": [[0.3750, 0.2163, 0.3413], [0.7837, 0.1250, 0.1587], [0.8750, 0.0337, 0.6587], [0.9663, 0.6250, 0.8413], [0.2500, 0.7500, 0.5000], [0.5000, 0.5000, 0.0000], [0.0000, 0.0000, 0.0000], [0.7500, 0.2500, 0.5000]]}


{"formula": "KMoCl", "functional": "PBE", "state": "relaxed", "formation_energy_uncorrected_ev_per_atom": 0.63, "space_group": "No. 107", "m_tot_mub_per_fu": 4.784, "de_polymorph_ev_per_atom": 0.188, "cell": [[-1.7610, 1.7610, 6.8425], [1.7610, -1.7610, 6.8425], [1.7610, 1.7610, -6.8425]], "species": ["K", "Mo", "Cl"], "frac_coords": [[0.0000, 0.0000, 0.0000], [0.7157, 0.7157, 0.0000], [0.3600, 0.3600, 0.0000]]}


{"formula": "K3MoCl6", "functional": "PBE", "state": "relaxed", "formation_energy_uncorrected_ev_per_atom": -1.54, "space_group": "No. 148", "m_tot_mub_per_fu": 3.000, "de_polymorph_ev_per_atom": 0.000, "cell": [[6.1935, 3.5758, 4.9045], [-6.1935, 3.5758, 4.9045], [0.0000, -7.1516, 4.9045]], "species": ["K", "K", "K", "K", "K", "K", "Mo", "Mo", "Cl", "Cl", "Cl", "Cl", "Cl", "Cl", "Cl", "Cl", "Cl", "Cl", "Cl", "Cl"], "frac_coords": [[0.0697, 0.7498, 0.5743], [0.2502, 0.4257, 0.9303], [0.4257, 0.9303, 0.2502], [0.5743, 0.0697, 0.7498], [0.7498, 0.5743, 0.0697], [0.9303, 0.2502, 0.4257], [0.0000, 0.0000, 0.0000], [0.5000, 0.5000, 0.5000], [0.0485, 0.7259, 0.9346], [0.0654, 0.9515, 0.2741], [0.2307, 0.4237, 0.5594], [0.2741, 0.0654, 0.9515], [0.4237, 0.5594, 0.2307], [0.4406, 0.7693, 0.5763], [0.5594, 0.2307, 0.4237], [0.5763, 0.4406, 0.7693], [0.7259, 0.9346, 0.0485], [0.7693, 0.5763, 0.4406], [0.9346, 0.0485, 0.7259], [0.9515, 0.2741, 0.0654]]}


{"formula": "KMoCl2", "functional": "PBE", "state": "relaxed", "formation_energy_uncorrected_ev_per_atom": -0.24, "space_group": "No. 166", "m_tot_mub_per_fu": 1.000, "de_polymorph_ev_per_atom": 0.183, "cell": [[2.0045, 1.1573, 6.3203], [-2.0045, 1.1573, 6.3203], [0.0000, -2.3146, 6.3203]], "species": ["K", "Mo", "Cl", "Cl"], "frac_coords": [[0.0000, 0.0000, 0.0000], [0.5000, 0.5000, 0.5000], [0.2260, 0.2260, 0.2260], [0.7740, 0.7740, 0.7740]]}


{"formula": "KMoCl2", "functional": "PBE", "state": "relaxed", "formation_energy_uncorrected_ev_per_atom": -0.39, "space_group": "No. 47", "m_tot_mub_per_fu": 2.696, "de_polymorph_ev_per_atom": 0.036, "cell": [[3.6774, 0.0000, 0.0000], [0.0000, 3.7545, 0.0000], [0.0000, 0.0000, 6.9667]], "species": ["K", "Mo", "Cl", "Cl"], "frac_coords": [[0.0000, 0.0000, 0.0000], [0.5000, 0.0000, 0.5000], [0.5000, 0.5000, 0.2595], [0.5000, 0.5000, 0.7405]]}


{"formula": "KMoCl", "functional": "PBE", "state": "relaxed", "formation_energy_uncorrected_ev_per_atom": 0.68, "space_group": "No. 156", "m_tot_mub_per_fu": 4.701, "de_polymorph_ev_per_atom": 0.243, "cell": [[4.7364, 0.0000, 0.0000], [-2.3682, 4.1018, 0.0000], [0.0000, 0.0000, 4.9523]], "species": ["K", "Mo", "Cl"], "frac_coords": [[0.0000, 0.0000, 0.0000], [0.6667, 0.3333, 0.4993], [0.3333, 0.6667, 0.4979]]}


{"formula": "K2MoCl", "functional": "PBE", "state": "relaxed", "formation_energy_uncorrected_ev_per_atom": 0.22, "space_group": "No. 123", "m_tot_mub_per_fu": 4.880, "de_polymorph_ev_per_atom": 0.000, "cell": [[3.7023, 0.0000, 0.0000], [0.0000, 3.7023, 0.0000], [0.0000, 0.0000, 9.3311]], "species": ["K", "K", "Mo", "Cl"], "frac_coords": [[0.0000, 0.0000, 0.2039], [0.0000, 0.0000, 0.7961], [0.5000, 0.5000, 0.5000], [0.5000, 0.5000, 0.0000]]}